First-principles (PBE) data for a geometry-optimized PmHf2Tc structure, as listed in the Alexandria database.

Output
As for the energy: -35.7 eV per cell. The crystal system is tetragonal. For the total moment, the calculation gives 0.0 μB/cell.

a b c (Å): 3.3168 3.3168 8.2141
angles (deg): 90.00 90.00 90.00
Last column: nearest neighbours and their distance in Å.
Element x y z (fractional)
Pm  0.0000  0.0000  0.0000  4 Pm 3.32, 8 Hf 3.48
Hf  0.5000  0.5000  0.3132  4 Tc 2.80, 1 Hf 3.07
Hf  0.5000  0.5000  0.6868  4 Tc 2.80, 1 Hf 3.07
Tc  0.0000  0.0000  0.5000  8 Hf 2.80

---

First-principles (PBE) data for a geometry-optimized AlZnOs3 structure, as listed in the Alexandria database.

Output
As for the energy: -30.4 eV per cell. The crystal system is cubic. For the total moment, the calculation gives 1.7 μB/cell.

a b c (Å): 4.4357 4.4357 4.4357
angles (deg): 90.00 90.00 90.00
Last column: nearest neighbours and their distance in Å.
Element x y z (fractional)
Al  0.0000  0.0000  0.0000  6 Os 2.22
Zn  0.5000  0.5000  0.5000  12 Os 3.14
Os  0.0000  0.0000  0.5000  2 Al 2.22
Os  0.0000  0.5000  0.0000  2 Al 2.22
Os  0.5000  0.0000  0.0000  2 Al 2.22

---

no.,formation energy from the elements (eV per atom)
1,-0.162
2,1.655